## AcLa5Y2 (PBE)

Data for crystalline AcLa5Y2 at its relaxed geometry.

extended XYZ file:
```
16
Lattice="7.4526 0.0000 0.0000 0.0000 14.9023 0.0000 0.0000 0.0000 5.2607" Properties=species:S:1:pos:R:3 pbc="T T T"
Ac 0.0000 0.0000 0.0000
Ac 3.7263 7.4512 0.0000
La 7.4494 3.7529 0.0000
La 0.0000 7.4512 0.0000
La 0.0032 11.1494 0.0000
La 1.8372 5.5639 2.6304
La 1.8891 13.0151 2.6304
La 3.7263 0.0000 0.0000
La 3.7231 3.6983 0.0000
La 3.7295 11.2040 0.0000
La 5.5635 1.8872 2.6304
La 5.6154 9.3384 2.6304
Y 1.8661 1.8809 2.6304
Y 1.8602 9.3321 2.6304
Y 5.5924 5.5702 2.6304
Y 5.5865 13.0214 2.6304
```

Crystal system = orthorhombic
Energy relative to the lowest polymorph listed for this composition = 0 meV/atom

## Ac6La3Y (PBE)

Data for crystalline Ac6La3Y at its relaxed geometry.

extended XYZ file:
```
10
Lattice="7.9201 -3.6162 0.0000 7.9201 3.6162 0.0000 -6.2364 0.0000 7.7900" Properties=species:S:1:pos:R:3 pbc="T T T"
Ac 2.8990 1.8012 1.4535
Ac 0.2845 0.0000 3.4623
Ac 6.7046 1.8012 6.3365
Ac 2.8990 -1.8012 1.4535
Ac 9.3191 0.0000 4.3277
Ac 6.7046 -1.8012 6.3365
La 0.0000 0.0000 0.0000
La 3.1673 0.0000 5.6259
La 6.4364 0.0000 2.1641
Y -3.1182 0.0000 3.8950
```

Crystal system = monoclinic

## Ac5La5Y2 (PBE)

Data for crystalline Ac5La5Y2 at its relaxed geometry.

extended XYZ file:
```
12
Lattice="8.0837 -2.7102 0.0000 8.0837 2.7102 0.0000 -5.3637 0.0000 10.7767" Properties=species:S:1:pos:R:3 pbc="T T T"
Ac 0.0000 0.0000 0.0000
Ac -0.0526 0.0000 5.3507
Ac 2.7518 0.0000 2.6661
Ac 8.0518 0.0000 8.1106
Ac 10.8562 0.0000 5.4260
La 0.0199 0.0000 10.7693
La 2.7599 0.0000 8.1166
La 5.4018 0.0000 5.3883
La 8.0437 0.0000 2.6601
La 10.7838 0.0000 0.0074
Y -2.6851 0.0000 8.1363
Y 13.4887 0.0000 2.6403
```

Crystal system = monoclinic

## Ac2La7Y3 (PBE)

Data for crystalline Ac2La7Y3 at its relaxed geometry.

extended XYZ file:
```
12
Lattice="6.6206 0.0000 0.0000 0.0000 3.6824 0.0000 -1.6745 0.0000 18.2642" Properties=species:S:1:pos:R:3 pbc="T T T"
Ac 0.1718 0.0000 3.1103
Ac 4.7742 0.0000 15.1539
La -0.8373 1.8412 9.1321
La 0.3762 0.0000 12.1690
La 0.1076 0.0000 18.1237
La 1.3142 1.8412 6.1770
La 3.6318 1.8412 12.0872
La 4.8384 0.0000 0.1405
La 4.5698 0.0000 6.0952
Y 1.5375 1.8412 15.2572
Y 2.4730 0.0000 9.1321
Y 3.4085 1.8412 3.0070
```

Crystal system = monoclinic

## Ac6LaY8 (PBE)

Data for crystalline Ac6LaY8 at its relaxed geometry.

extended XYZ file:
```
15
Lattice="4.6906 2.7081 7.3950 -4.6906 2.7081 7.3950 0.0000 -5.4162 7.3950" Properties=species:S:1:pos:R:3 pbc="T T T"
Ac -2.5517 -2.3291 10.0748
Ac -3.2929 1.0452 12.1100
Ac 0.7413 -3.3744 12.1100
Ac -0.7413 3.3744 10.0748
Ac 3.2929 -1.0452 10.0748
Ac 2.5517 2.3291 12.1100
La 0.0000 0.0000 11.0924
Y 0.0000 0.0000 1.6704
Y -1.9652 0.7145 8.0078
Y 0.3639 -2.0592 8.0078
Y -1.6014 -1.3447 14.1770
Y 1.6014 1.3447 8.0078
Y -0.3639 2.0592 14.1770
Y 1.9652 -0.7144 14.1770
Y 0.0000 0.0000 20.5144
```

Crystal system = trigonal

## AcLa2Y7 (PBE)

Data for crystalline AcLa2Y7 at its relaxed geometry.

extended XYZ file:
```
10
Lattice="8.5035 -2.8795 0.0000 8.5035 2.8795 0.0000 -1.4966 0.0000 7.0152" Properties=species:S:1:pos:R:3 pbc="T T T"
Ac 0.0000 0.0000 0.0000
La 3.1007 0.0000 2.5005
La 12.4098 0.0000 4.5146
Y -0.7483 0.0000 3.5076
Y 2.3397 0.0000 6.0172
Y 5.7503 0.0000 4.9050
Y 6.5316 0.0000 1.4272
Y 8.9788 0.0000 5.5880
Y 9.7601 0.0000 2.1102
Y 13.1707 0.0000 0.9980
```

Crystal system = monoclinic

## AcLa7Y4 (PBE)

Data for crystalline AcLa7Y4 at its relaxed geometry.

extended XYZ file:
```
12
Lattice="6.4946 0.0000 0.0000 -0.0024 7.4595 0.0000 -2.1586 -0.0105 8.9311" Properties=species:S:1:pos:R:3 pbc="T T T"
Ac 0.0000 0.0000 0.0000
La -0.0012 3.7298 0.0000
La 0.0273 7.4489 5.9229
La 1.1072 5.5751 3.0026
La 1.0785 5.5404 8.9082
La 3.2552 1.9087 0.0229
La 3.2265 1.8740 5.9285
La 4.3063 0.0001 3.0082
Y -0.0237 3.7195 5.9368
Y 1.0862 1.9298 2.9819
Y 3.2474 5.5193 5.9493
Y 4.3573 3.7295 2.9943
```

Crystal system = triclinic

## Ac8LaY3 (PBE)

Data for crystalline Ac8LaY3 at its relaxed geometry.

extended XYZ file:
```
12
Lattice="9.8079 -2.7629 0.0000 9.8079 2.7629 0.0000 -5.9210 0.0000 9.0881" Properties=species:S:1:pos:R:3 pbc="T T T"
Ac 0.0000 0.0000 0.0000
Ac -2.8851 0.0000 4.4357
Ac -2.0728 0.0000 8.2015
Ac 4.5912 0.0000 2.9621
Ac 5.3861 0.0000 6.7613
Ac 12.0538 0.0000 1.5102
Ac 12.8254 0.0000 5.3039
Ac 15.9199 0.0000 0.6194
La 0.7603 0.0000 3.8039
Y 1.5999 0.0000 7.5056
Y 8.3598 0.0000 2.2299
Y 9.1813 0.0000 5.9436
```

Crystal system = monoclinic

Record-wise E_form values, in eV/atom: 0.012; 0.369; 0.028; 0.070; 0.135; 0.045; 0.010; 0.045